No. 1
An optimized crystal structure of LiPrSn. Source: the Alexandria database, functional PBE-GGA.

Results
SG: I4mm
E (eV for the cell shown): -23.28

abc: 4.3095 4.3095 8.9048
angles: 90.00 90.00 90.00
Positions (direct):
Li (0.0000, 0.0000, 0.0000)
Li (0.5000, 0.5000, 0.5000)
Pr (0.0000, 0.0000, 0.3298)
Pr (0.5000, 0.5000, 0.8298)
Sn (0.0000, 0.0000, 0.6842)
Sn (0.5000, 0.5000, 0.1842)

***

No. 2
An optimized crystal structure of SrLi2Pr2Sn2. Source: the Alexandria database, functional PBE-GGA.

Results
SG: R-3m
E (eV for the cell shown): -26.50

abc: 10.1352 10.1352 10.1352
angles: 28.24 28.24 28.24
Positions (direct):
Sr (0.0000, 0.0000, 0.0000)
Li (0.4110, 0.4110, 0.4110)
Li (0.5890, 0.5890, 0.5890)
Pr (0.1303, 0.1303, 0.1303)
Pr (0.8697, 0.8697, 0.8697)
Sn (0.2555, 0.2555, 0.2555)
Sn (0.7445, 0.7445, 0.7445)

***

No. 3
An optimized crystal structure of Sr2Li2PrSn2. Source: the Alexandria database, functional PBE-GGA.

Results
SG: R-3m
E (eV for the cell shown): -23.57

abc: 11.5841 11.5841 11.5841
angles: 24.22 24.22 24.22
Positions (direct):
Sr (0.1158, 0.1158, 0.1158)
Sr (0.8842, 0.8842, 0.8842)
Li (0.3815, 0.3815, 0.3815)
Li (0.6185, 0.6185, 0.6185)
Pr (0.0000, 0.0000, 0.0000)
Sn (0.2785, 0.2785, 0.2785)
Sn (0.7215, 0.7215, 0.7215)

***

No. 4
An optimized crystal structure of SrLiPrSn. Source: the Alexandria database, functional PBE-GGA.

Results
SG: F-43m
E (eV for the cell shown): -55.79

abc: 7.8643 7.8643 7.8643
angles: 90.00 90.00 90.00
Positions (direct):
Sr (0.0000, 0.0000, 0.0000)
Sr (0.0000, 0.5000, 0.5000)
Sr (0.5000, 0.0000, 0.5000)
Sr (0.5000, 0.5000, 0.0000)
Li (0.2500, 0.2500, 0.2500)
Li (0.2500, 0.7500, 0.7500)
Li (0.7500, 0.2500, 0.7500)
Li (0.7500, 0.7500, 0.2500)
Pr (0.0000, 0.0000, 0.5000)
Pr (0.0000, 0.5000, 0.0000)
Pr (0.5000, 0.0000, 0.0000)
Pr (0.5000, 0.5000, 0.5000)
Sn (0.2500, 0.2500, 0.7500)
Sn (0.2500, 0.7500, 0.2500)
Sn (0.7500, 0.2500, 0.2500)
Sn (0.7500, 0.7500, 0.7500)

***

No. 5
An optimized crystal structure of SrLi2PrSn2. Source: the Alexandria database, functional PBE-GGA.

Results
SG: P-3m1
E (eV for the cell shown): -21.92

abc: 4.9151 4.9151 7.9239
angles: 90.00 90.00 120.00
Positions (direct):
Sr (0.0000, 0.0000, 0.0000)
Li (0.3333, 0.6667, 0.7083)
Li (0.6667, 0.3333, 0.2917)
Pr (0.0000, 0.0000, 0.5000)
Sn (0.3333, 0.6667, 0.2825)
Sn (0.6667, 0.3333, 0.7175)

***

No. 6
An optimized crystal structure of LiTbPrSn. Source: the Alexandria database, functional PBE-GGA.

Results
SG: F-43m
E (eV for the cell shown): -68.23

abc: 7.5467 7.5467 7.5467
angles: 90.00 90.00 90.00
Positions (direct):
Li (0.0000, 0.0000, 0.0000)
Li (0.0000, 0.5000, 0.5000)
Li (0.5000, 0.0000, 0.5000)
Li (0.5000, 0.5000, 0.0000)
Tb (0.2500, 0.2500, 0.2500)
Tb (0.2500, 0.7500, 0.7500)
Tb (0.7500, 0.2500, 0.7500)
Tb (0.7500, 0.7500, 0.2500)
Pr (0.2500, 0.2500, 0.7500)
Pr (0.2500, 0.7500, 0.2500)
Pr (0.7500, 0.2500, 0.2500)
Pr (0.7500, 0.7500, 0.7500)
Sn (0.0000, 0.0000, 0.5000)
Sn (0.0000, 0.5000, 0.0000)
Sn (0.5000, 0.0000, 0.0000)
Sn (0.5000, 0.5000, 0.5000)

***

Values of magnetic moment, in order: 0.000; 0.001; 0.637; 0.000; 0.000; 0.000, all in μB per formula unit.